{
  "formula": "Li4Nb3V3Sb2O16",
  "functional": "GGA+U",
  "state": "relaxed",
  "lattice": [[3.0552, 5.3263, 0.0053], [-3.0552, 5.3263, 0.0053], [0.0000, 0.1002, 10.6048]],
  "species": ["O", "O", "O", "O", "O", "O", "O", "O", "O", "O", "O", "O", "O", "O", "O", "O", "Nb", "Nb", "Nb", "Li", "Li", "Li", "Li", "V", "V", "V", "Sb", "Sb"],
  "fractional_positions": [[0.4939, 0.4939, 0.1704], [0.0134, 0.5063, 0.1743], [0.3350, 0.3350, 0.4039], [0.9974, 0.9974, 0.6878], [0.9886, 0.5164, 0.6808], [0.9962, 0.9962, 0.1883], [0.8252, 0.3134, 0.3986], [0.8430, 0.8430, 0.3943], [0.5177, 0.5177, 0.6812], [0.1576, 0.6901, 0.8951], [0.1572, 0.1572, 0.8893], [0.6767, 0.6767, 0.8932], [0.6901, 0.1576, 0.8951], [0.5164, 0.9886, 0.6808], [0.5063, 0.0134, 0.1743], [0.3134, 0.8252, 0.3986], [0.1697, 0.6409, 0.2787], [0.8271, 0.8271, 0.7741], [0.6409, 0.1697, 0.2787], [0.0025, 0.0025, 0.0071], [0.3411, 0.3411, 0.6090], [0.9985, 0.9985, 0.5056], [0.6679, 0.6679, 0.0979], [0.1677, 0.1677, 0.2893], [0.3417, 0.8283, 0.7852], [0.8283, 0.3417, 0.7852], [0.6550, 0.6550, 0.4909], [0.3309, 0.3309, 0.9842]],
  "n_ef_per_ev_fu": 1.1,
  "density_g_cm3": 4.613,
  "total_energy_ev_per_cell": -205.800,
  "spacegroup": "Cm, No. 8",
  "volume_a3_per_atom": 12.3
}